(1)
A geometry-optimized PuScPd3 structure. Source: Alexandria, functional PBE.

a = 7.9558 Å, b = 7.4629 Å, c = 7.1589 Å
α = 113.06°, β = 90.00°, γ = 90.00°
With the nearest neighbours (Å) after each atom.
Fractional positions:
Pd: 0.3242 0.5888 0.0679  2 Sc 2.85-2.86, 5 Pd 2.85-3.08, 3 Pu 3.03-3.12
Sc: 0.3028 0.8943 0.4642  8 Pd 2.82-2.99
Pd: 0.6191 0.7032 0.3468  4 Pd 2.66-2.98, 3 Pu 2.79-2.90, 2 Sc 2.84-2.85
Pd: 0.1191 0.2968 0.1532  4 Pd 2.66-2.98, 3 Pu 2.79-2.90, 2 Sc 2.84-2.85
Pu: 0.0463 0.3363 0.7806  8 Pd 2.79-3.12
Pd: 0.8809 0.7032 0.8468  4 Pd 2.66-2.98, 3 Pu 2.79-2.90, 2 Sc 2.84-2.85
Pd: 0.8242 0.4112 0.4321  2 Sc 2.85-2.86, 5 Pd 2.85-3.08, 3 Pu 3.03-3.12
Pd: 0.5317 0.9219 0.1446  3 Pd 2.66-2.85, 3 Sc 2.82-2.93, 2 Pu 2.90-2.92
Sc: 0.8028 0.1057 0.0358  8 Pd 2.82-2.99
Sc: 0.6972 0.1057 0.5358  8 Pd 2.82-2.99
Sc: 0.1972 0.8943 0.9642  8 Pd 2.82-2.99
Pu: 0.4537 0.3363 0.2806  8 Pd 2.79-3.12
Pu: 0.5463 0.6637 0.7194  8 Pd 2.79-3.12
Pd: 0.4683 0.0781 0.8554  3 Pd 2.66-2.85, 3 Sc 2.82-2.93, 2 Pu 2.90-2.92
Pd: 0.1758 0.5888 0.5679  2 Sc 2.85-2.86, 5 Pd 2.85-3.08, 3 Pu 3.03-3.12
Pu: 0.9537 0.6637 0.2194  8 Pd 2.79-3.12
Pd: 0.3809 0.2968 0.6532  4 Pd 2.66-2.98, 3 Pu 2.79-2.90, 2 Sc 2.84-2.85
Pd: 0.9683 0.9219 0.6446  3 Pd 2.66-2.85, 3 Sc 2.82-2.93, 2 Pu 2.90-2.92
Pd: 0.6758 0.4112 0.9321  2 Sc 2.85-2.86, 5 Pd 2.85-3.08, 3 Pu 3.03-3.12
Pd: 0.0317 0.0781 0.3554  3 Pd 2.66-2.85, 3 Sc 2.82-2.93, 2 Pu 2.90-2.92

Calculated values
The formation energy from the elements is -0.58 eV per atom. As for the density of states at the Fermi level: 2.60 states/eV/atom.



(2)
A geometry-optimized Y4SbAsSe2 structure. Source: Alexandria, functional PBE.

a = 4.1802 Å, b = 7.2030 Å, c = 7.2832 Å
α = 70.44°, β = 90.00°, γ = 90.00°
With the nearest neighbours (Å) after each atom.
Fractional positions:
Y: 0.0000 0.2464 0.2640  1 As 2.90, 3 Se 2.90-3.02, 2 Sb 3.01
As: 0.0000 0.5000 0.5000  6 Y 2.90
Se: 0.0000 0.0000 0.0000  6 Y 3.01-3.02
Sb: 0.5000 0.5000 0.0000  6 Y 3.01
Y: 0.5000 0.7442 0.2633  2 As 2.90, 3 Se 2.91-3.01, 1 Sb 3.01
Se: 0.5000 0.0000 0.5000  6 Y 2.90-2.91
Y: 0.0000 0.7536 0.7360  1 As 2.90, 3 Se 2.90-3.02, 2 Sb 3.01
Y: 0.5000 0.2558 0.7367  2 As 2.90, 3 Se 2.91-3.01, 1 Sb 3.01

Calculated values
As for the density of states at the Fermi level: 0.44 states/eV/atom. The value obtained for the energy relative to the elements, uncorrected is -1584 meV/atom.



(3)
A geometry-optimized Cr3GaAs structure. Source: Alexandria, functional PBE.

a = 4.3603 Å, b = 4.3603 Å, c = 4.3603 Å
α = 90.00°, β = 90.00°, γ = 90.00°
With the nearest neighbours (Å) after each atom.
Fractional positions:
Cr: 0.5000 0.0000 0.0000  2 As 2.18
Cr: 0.0000 0.0000 0.5000  2 As 2.18
Ga: 0.5000 0.5000 0.5000  12 Cr 3.08
As: 0.0000 0.0000 0.0000  6 Cr 2.18
Cr: 0.0000 0.5000 0.0000  2 As 2.18

Calculated values
The formation energy from the elements is 1.02 eV per atom. As for the density of states at the Fermi level: 1.94 states/eV/atom.



(4)
A geometry-optimized SrSnP2S structure. Source: Alexandria, functional PBE.

a = 5.0488 Å, b = 5.0488 Å, c = 5.1946 Å
α = 90.00°, β = 90.00°, γ = 90.00°
With the nearest neighbours (Å) after each atom.
Fractional positions:
P: 0.0000 0.5000 0.0000  2 Sn 2.52
S: 0.0000 0.0000 0.5000  2 Sn 2.60
Sr: 0.5000 0.5000 0.5000  4 S 3.57, 8 P 3.62
Sn: 0.0000 0.0000 0.0000  4 P 2.52, 2 S 2.60
P: 0.5000 0.0000 0.0000  2 Sn 2.52

Calculated values
As for the density of states at the Fermi level: 0.77 states/eV/atom. The value obtained for the energy relative to the elements, uncorrected is -40 meV/atom.



(5)
A geometry-optimized Se3SO structure. Source: Alexandria, functional PBE.

a = 4.5006 Å, b = 4.5006 Å, c = 4.5006 Å
α = 90.00°, β = 90.00°, γ = 90.00°
With the nearest neighbours (Å) after each atom.
Fractional positions:
Se: 0.0000 0.5000 0.0000  2 O 2.25
O: 0.0000 0.0000 0.0000  6 Se 2.25
Se: 0.0000 0.0000 0.5000  2 O 2.25
S: 0.5000 0.5000 0.5000  12 Se 3.18
Se: 0.5000 0.0000 0.0000  2 O 2.25

Calculated values
As for the density of states at the Fermi level: 0.87 states/eV/atom. The value obtained for the energy relative to the elements, uncorrected is 851 meV/atom.